[1]
Here is an optimized crystal structure of ErTm2Cu9 from Alexandria via LeMat-Bulk. Energies are from PBE.

Cell and atoms, written as CIF:
```
data_ErTm2Cu9
_chemical_formula_sum 'Er1 Tm2 Cu9'
_cell_length_a 8.799
_cell_length_b 8.799
_cell_length_c 8.799
_cell_angle_alpha 33.78
_cell_angle_beta 33.78
_cell_angle_gamma 33.78
_space_group_name_H-M_alt 'P 1'
_space_group_IT_number 1
_space_group_name_Hall 'P 1'
loop_
_atom_site_label
_atom_site_type_symbol
_atom_site_fract_x
_atom_site_fract_y
_atom_site_fract_z
Er1 Er 0.000 0.000 0.000
Tm1 Tm 0.141 0.141 0.141
Tm2 Tm 0.859 0.859 0.859
Cu1 Cu 0.082 0.583 0.583
Cu2 Cu 0.333 0.333 0.333
Cu3 Cu 0.417 0.417 0.918
Cu4 Cu 0.417 0.918 0.417
Cu5 Cu 0.500 0.500 0.500
Cu6 Cu 0.583 0.082 0.583
Cu7 Cu 0.583 0.583 0.082
Cu8 Cu 0.667 0.667 0.667
Cu9 Cu 0.918 0.417 0.417
```

**Calculated total energy**: -4.42 eV per atom
**V**: 15.64 Å³/atom
**Total moment**: 0.00 μB/cell


[2]
Here is an optimized crystal structure of Er4Tm3Cu4 from Alexandria via LeMat-Bulk. Energies are from PBE.

Cell and atoms, written as CIF:
```
data_Er4Tm3Cu4
_chemical_formula_sum 'Er4 Tm3 Cu4'
_cell_length_a 8.618
_cell_length_b 8.618
_cell_length_c 8.618
_cell_angle_alpha 147.84
_cell_angle_beta 130.19
_cell_angle_gamma 60.54
_space_group_name_H-M_alt 'P 1'
_space_group_IT_number 1
_space_group_name_Hall 'P 1'
loop_
_atom_site_label
_atom_site_type_symbol
_atom_site_fract_x
_atom_site_fract_y
_atom_site_fract_z
Er1 Er 0.047 0.828 0.220
Er2 Er 0.392 0.172 0.220
Er3 Er 0.608 0.828 0.780
Er4 Er 0.953 0.172 0.780
Tm1 Tm 0.000 0.500 0.500
Tm2 Tm 0.396 0.396 0.000
Tm3 Tm 0.604 0.604 0.000
Cu1 Cu 0.200 0.700 0.500
Cu2 Cu 0.332 0.000 0.332
Cu3 Cu 0.668 0.000 0.668
Cu4 Cu 0.800 0.300 0.500
```

**Calculated total energy**: -4.46 eV per atom
**V**: 23.45 Å³/atom
**Total moment**: 0.00 μB/cell


Among the records above, which one has the highest calculated total energy?
ErTm2Cu9


V of number 1 (ErTm2Cu9)?
15.64 Å³/atom


Copy entry 1 word for word.
Here is an optimized crystal structure of ErTm2Cu9 from Alexandria via LeMat-Bulk. Energies are from PBE.

Cell and atoms, written as CIF:
```
data_ErTm2Cu9
_chemical_formula_sum 'Er1 Tm2 Cu9'
_cell_length_a 8.799
_cell_length_b 8.799
_cell_length_c 8.799
_cell_angle_alpha 33.78
_cell_angle_beta 33.78
_cell_angle_gamma 33.78
_space_group_name_H-M_alt 'P 1'
_space_group_IT_number 1
_space_group_name_Hall 'P 1'
loop_
_atom_site_label
_atom_site_type_symbol
_atom_site_fract_x
_atom_site_fract_y
_atom_site_fract_z
Er1 Er 0.000 0.000 0.000
Tm1 Tm 0.141 0.141 0.141
Tm2 Tm 0.859 0.859 0.859
Cu1 Cu 0.082 0.583 0.583
Cu2 Cu 0.333 0.333 0.333
Cu3 Cu 0.417 0.417 0.918
Cu4 Cu 0.417 0.918 0.417
Cu5 Cu 0.500 0.500 0.500
Cu6 Cu 0.583 0.082 0.583
Cu7 Cu 0.583 0.583 0.082
Cu8 Cu 0.667 0.667 0.667
Cu9 Cu 0.918 0.417 0.417
```

**Calculated total energy**: -4.42 eV per atom
**V**: 15.64 Å³/atom
**Total moment**: 0.00 μB/cell